Mg3Ti5O12 | GGA-PBE | optimized geometry

Results
* uncorrected formation energy: -2.77 eV/atom
* final energy: -0.293 hartree per atom

The structure in POSCAR format:
```
Mg3Ti5O12
1.0
-6.121 6.121 6.121
6.121 -6.121 6.121
6.121 6.121 -6.121
Mg Ti O
12 20 48
Direct
0.125 0.250 0.375
0.125 0.375 0.750
0.250 0.375 0.125
0.250 0.875 0.625
0.375 0.125 0.250
0.375 0.750 0.125
0.625 0.250 0.875
0.625 0.875 0.750
0.750 0.125 0.375
0.750 0.625 0.875
0.875 0.625 0.250
0.875 0.750 0.625
0.000 0.000 0.000
0.000 0.000 0.500
0.000 0.500 0.000
0.000 0.500 0.500
0.125 0.750 0.875
0.125 0.875 0.250
0.250 0.125 0.875
0.250 0.625 0.375
0.375 0.250 0.625
0.375 0.625 0.750
0.500 0.000 0.000
0.500 0.000 0.500
0.500 0.500 0.000
0.500 0.500 0.500
0.625 0.375 0.250
0.625 0.750 0.375
0.750 0.375 0.625
0.750 0.875 0.125
0.875 0.125 0.750
0.875 0.250 0.125
0.031 0.211 0.124
0.031 0.320 0.907
0.087 0.711 0.680
0.087 0.876 0.407
0.093 0.624 0.413
0.093 0.969 0.680
0.124 0.031 0.211
0.124 0.593 0.913
0.180 0.211 0.587
0.180 0.469 0.593
0.211 0.124 0.031
0.211 0.587 0.180
0.289 0.320 0.913
0.289 0.469 0.376
0.320 0.907 0.031
0.320 0.913 0.289
0.376 0.289 0.469
0.376 0.587 0.907
0.407 0.087 0.876
0.407 0.820 0.531
0.413 0.093 0.624
0.413 0.820 0.789
0.469 0.376 0.289
0.469 0.593 0.180
0.531 0.407 0.820
0.531 0.624 0.711
0.587 0.180 0.211
0.587 0.907 0.376
0.593 0.180 0.469
0.593 0.913 0.124
0.624 0.413 0.093
0.624 0.711 0.531
0.680 0.087 0.711
0.680 0.093 0.969
0.711 0.531 0.624
0.711 0.680 0.087
0.789 0.413 0.820
0.789 0.876 0.969
0.820 0.531 0.407
0.820 0.789 0.413
0.876 0.407 0.087
0.876 0.969 0.789
0.907 0.031 0.320
0.907 0.376 0.587
0.913 0.124 0.593
0.913 0.289 0.320
0.969 0.680 0.093
0.969 0.789 0.876
```


CsRbHI | GGA-PBE | optimized geometry

Results
* final energy: -0.088 hartree per atom

The structure in POSCAR format:
```
CsRbHI
1.0
0.000 4.327 4.327
4.327 0.000 4.327
4.327 4.327 0.000
Cs Rb H I
1 1 1 1
Direct
0.000 0.000 0.000
0.500 0.500 0.500
0.750 0.750 0.750
0.250 0.250 0.250
```


Y3Ga2Ni9 | GGA-PBE | optimized geometry

Results
* energy of formation from the pure elements: -0.38 eV/atom
* final energy: -0.217 hartree per atom

The structure in POSCAR format:
```
Y3Ga2Ni9
1.0
-1.996 4.362 6.087
1.996 -4.362 6.087
1.996 4.362 -6.087
Y Ga Ni
3 2 9
Direct
0.000 0.000 0.000
0.303 0.303 0.000
0.697 0.697 0.000
0.286 0.500 0.786
0.714 0.500 0.214
0.030 0.680 0.350
0.159 0.882 0.277
0.330 0.680 0.650
0.396 0.118 0.277
0.500 0.000 0.500
0.604 0.882 0.723
0.670 0.320 0.350
0.841 0.118 0.723
0.970 0.320 0.650
```


MgBe2F6 | GGA-PBE | optimized geometry

Results
* uncorrected formation energy: -3.35 eV/atom
* offset from the most stable computed form: 0 meV/atom
* final energy: -0.206 hartree per atom

The structure in POSCAR format:
```
MgBe2F6
1.0
4.771 -4.374 0.000
4.771 4.374 0.000
-1.725 0.000 4.912
Mg Be F
2 4 12
Direct
0.107 0.893 0.750
0.893 0.107 0.250
0.217 0.384 0.763
0.384 0.217 0.263
0.616 0.783 0.737
0.783 0.616 0.237
0.052 0.190 0.647
0.107 0.604 0.796
0.190 0.052 0.147
0.352 0.354 0.543
0.354 0.352 0.043
0.396 0.893 0.704
0.604 0.107 0.296
0.646 0.648 0.957
0.648 0.646 0.457
0.810 0.948 0.853
0.893 0.396 0.204
0.948 0.810 0.353
```